Material: AlInRe
Method: DFT, PBE
State: optimized geometry

extended XYZ file:
```
3
Lattice="-2.268 3.347 1.823 -3.385 -0.847 2.738 0.392 0.841 4.337" Properties=species:S:1:pos:R:3 pbc="T T T"
Re -3.946 2.506 6.674
Al 0.000 0.000 0.000
In -2.631 1.671 4.449
```

Spin magnetization, Bohr magnetons per cell: 1.002
SG: F-43m (216)
D(E_F), states/eV per atom: 1.03
E_form, eV per atom: 0.613
Energy relative to the lowest polymorph listed for this composition, meV per atom: 349


Material: Pa2Cu3Ge4
Method: DFT, PBE
State: optimized geometry

extended XYZ file:
```
18
Lattice="5.736 0.000 0.000 0.000 7.531 0.000 -2.868 0.000 7.310" Properties=species:S:1:pos:R:3 pbc="T T T"
Pa 0.000 4.415 1.685
Pa 2.868 3.116 5.625
Pa 0.000 0.650 5.625
Pa 2.868 6.881 1.685
Cu 0.000 0.000 0.000
Cu 2.868 3.765 0.000
Cu 1.434 5.648 4.157
Cu 4.302 1.883 3.153
Cu 1.434 1.883 3.153
Cu -1.434 5.648 4.157
Ge 1.434 5.648 6.606
Ge 4.302 1.883 0.704
Ge 1.434 1.883 0.704
Ge -1.434 5.648 6.606
Ge 0.000 7.213 2.687
Ge 2.868 0.318 4.623
Ge 0.000 3.447 4.623
Ge 2.868 4.083 2.687
```

Spin magnetization, Bohr magnetons per cell: 0.000
SG: Cmce (64)
D(E_F), states/eV per atom: 0.71
E_form, eV per atom: -0.317


Material: La3Pr3Ho8
Method: DFT, PBE
State: optimized geometry

extended XYZ file:
```
14
Lattice="5.613 0.002 1.131 2.780 9.420 0.713 1.070 -3.294 9.218" Properties=species:S:1:pos:R:3 pbc="T T T"
La 2.807 0.001 0.565
La 2.457 7.023 2.317
La 1.392 -0.897 7.615
Pr 4.732 3.064 5.531
Pr 5.270 1.211 2.869
Pr 4.193 4.917 8.193
Ho 4.643 -0.722 5.977
Ho 4.820 6.850 5.085
Ho 5.394 4.868 2.238
Ho 4.069 1.260 8.824
Ho 7.430 5.342 6.632
Ho 2.033 0.786 4.430
Ho 7.081 2.743 8.370
Ho 2.383 3.385 2.692
```

Spin magnetization, Bohr magnetons per cell: 0.000
SG: C2/m (12)
D(E_F), states/eV per atom: 1.56
E_form, eV per atom: 0.103


Material: CaFe2As
Method: DFT, PBE
State: optimized geometry

extended XYZ file:
```
4
Lattice="-0.649 -3.082 0.518 -0.248 -0.477 -3.147 6.590 -1.439 -0.301" Properties=species:S:1:pos:R:3 pbc="T T T"
As 2.857 -0.624 -0.131
Ca 4.538 -2.868 -1.542
Fe 0.478 -0.104 -0.022
Fe 1.115 -2.121 -1.386
```

Spin magnetization, Bohr magnetons per cell: 4.686
SG: P4mm (99)
D(E_F), states/eV per atom: 1.11
E_form, eV per atom: -0.008


Material: KBa2La2
Method: DFT, PBE
State: optimized geometry

extended XYZ file:
```
10
Lattice="-5.427 4.995 8.695 7.092 -5.077 7.344 2.526 3.173 -0.246" Properties=species:S:1:pos:R:3 pbc="T T T"
K 0.000 0.000 0.000
K 0.832 -0.041 8.019
Ba 5.123 -0.967 6.574
Ba 3.280 0.907 11.823
Ba -0.932 4.059 9.218
Ba 0.911 2.184 3.969
La 4.215 -2.571 10.115
La -0.651 1.467 12.234
La -2.550 2.489 5.924
La 2.316 -1.549 3.805
```

Spin magnetization, Bohr magnetons per cell: 1.717
SG: P4/mbm (127)
D(E_F), states/eV per atom: 1.35
E_form, eV per atom: 0.308


Material: HoVRh2
Method: DFT, PBE
State: optimized geometry

extended XYZ file:
```
4
Lattice="3.058 0.000 0.000 0.000 3.058 0.000 0.000 0.000 7.150" Properties=species:S:1:pos:R:3 pbc="T T T"
Rh 0.000 0.000 5.695
Rh 0.000 0.000 1.455
Ho 1.529 1.529 3.575
V 1.529 1.529 0.000
```

Spin magnetization, Bohr magnetons per cell: 0.199
SG: P4/mmm (123)
D(E_F), states/eV per atom: 1.00
E_form, eV per atom: -0.488
Energy relative to the lowest polymorph listed for this composition, meV per atom: 0


Material: Tb2PaSe
Method: DFT, PBE
State: optimized geometry

extended XYZ file:
```
4
Lattice="-3.249 1.330 0.078 -2.490 -1.326 -2.091 -4.525 -6.818 6.766" Properties=species:S:1:pos:R:3 pbc="T T T"
Pa 0.000 0.000 0.000
Tb -3.713 -4.697 4.453
Tb -6.552 -2.118 0.300
Se -5.132 -3.407 2.377
```

Spin magnetization, Bohr magnetons per cell: 0.000
SG: R-3m (166)
Calculated total energy, eV/atom: -5.8668
D(E_F), states/eV per atom: 1.35


Material: Sm6P2Se3O
Method: DFT, PBE
State: optimized geometry

extended XYZ file:
```
12
Lattice="4.023 0.000 0.000 0.000 8.197 0.141 -2.012 -2.519 8.554" Properties=species:S:1:pos:R:3 pbc="T T T"
Sm 0.000 5.732 6.154
Sm 2.012 3.833 2.996
Sm 2.012 -0.054 2.540
Sm 0.000 1.776 0.068
Sm 2.012 3.903 8.626
Sm 0.000 1.846 5.698
P 2.012 3.805 5.839
P 0.000 1.873 2.855
Se 2.012 4.099 0.070
Se 2.012 -0.326 5.652
Se 0.000 6.005 3.042
O 2.012 0.000 0.000
```

Spin magnetization, Bohr magnetons per cell: 0.000
SG: C2/m (12)
Calculated total energy, eV/atom: -6.4351
D(E_F), states/eV per atom: 0.33


Material: AcSn
Method: DFT, PBE
State: optimized geometry

extended XYZ file:
```
2
Lattice="-0.148 3.651 -3.151 -4.058 2.552 -0.547 -0.221 4.551 1.588" Properties=species:S:1:pos:R:3 pbc="T T T"
Ac -2.213 5.377 -1.055
Sn 0.000 0.000 0.000
```

Spin magnetization, Bohr magnetons per cell: 0.000
SG: Fm-3m (225)
D(E_F), states/eV per atom: 1.82
E_form, eV per atom: -0.504


Material: Ba5Sn2Br2
Method: DFT, PBE
State: optimized geometry

extended XYZ file:
```
18
Lattice="9.853 0.000 0.000 0.000 9.794 0.000 0.000 -4.897 8.369" Properties=species:S:1:pos:R:3 pbc="T T T"
Ba 0.000 0.000 0.000
Ba 4.926 4.897 0.000
Ba 8.480 6.320 2.050
Ba 1.373 3.474 2.050
Ba 3.553 8.371 2.050
Ba 6.299 1.423 2.050
Ba 1.373 -1.423 6.319
Ba 8.480 1.423 6.319
Ba 6.299 -3.474 6.319
Ba 3.553 3.474 6.319
Sn 6.483 8.253 0.000
Sn 3.370 1.541 0.000
Sn 1.556 6.438 0.000
Sn 8.296 3.356 0.000
Br 0.000 0.000 3.420
Br 4.926 4.897 3.420
Br 0.000 4.897 4.949
Br 4.926 0.000 4.949
```

Spin magnetization, Bohr magnetons per cell: 0.000
SG: Cmce (64)
Calculated total energy, eV/atom: -3.4159
D(E_F), states/eV per atom: 0.06


Material: Sc2CuCl
Method: DFT, PBE
State: optimized geometry

extended XYZ file:
```
4
Lattice="3.632 0.001 0.000 1.820 3.143 0.000 1.824 1.052 6.926" Properties=species:S:1:pos:R:3 pbc="T T T"
Cl 5.457 3.147 5.194
Cu 1.819 1.049 1.731
Sc 5.456 3.146 0.179
Sc 3.634 2.095 3.282
```

Spin magnetization, Bohr magnetons per cell: 0.000
SG: R-3m (166)
D(E_F), states/eV per atom: 0.68
Energy relative to the lowest polymorph listed for this composition, meV per atom: 20


Material: Pm2TmCo
Method: DFT, PBE
State: optimized geometry

extended XYZ file:
```
4
Lattice="3.615 0.000 0.000 1.808 3.131 0.000 1.808 1.044 10.402" Properties=species:S:1:pos:R:3 pbc="T T T"
Tm 0.000 0.000 0.000
Co 3.615 2.087 5.201
Pm 1.808 1.044 6.924
Pm 5.423 3.131 3.479
```

Spin magnetization, Bohr magnetons per cell: 0.001
SG: R-3m (166)
D(E_F), states/eV per atom: 1.35
E_form, eV per atom: 0.235
Energy relative to the lowest polymorph listed for this composition, meV per atom: 347


Material: Al2Bi2O7
Method: DFT, PBE
State: optimized geometry

extended XYZ file:
```
11
Lattice="3.453 0.000 -0.808 -0.741 6.046 -3.168 -0.275 -0.470 6.608" Properties=species:S:1:pos:R:3 pbc="T T T"
Al -0.001 0.005 -0.003
Al 1.477 2.031 -1.468
Bi 0.107 4.460 0.459
Bi 2.271 1.594 1.923
O 0.421 -0.016 1.799
O 0.057 2.214 0.242
O 1.678 0.398 -0.612
O 0.809 2.291 3.457
O 1.556 3.875 -1.134
O 2.208 4.025 1.654
O 2.726 0.543 3.868
```

Spin magnetization, Bohr magnetons per cell: 0.001
SG: Imm2 (44)
D(E_F), states/eV per atom: 0.45
Energy relative to the lowest polymorph listed for this composition, meV per atom: 0


Material: Y4Cd5Cu2
Method: DFT, PBE
State: optimized geometry

extended XYZ file:
```
11
Lattice="-3.389 -0.184 1.207 2.546 -2.272 6.801 0.314 9.342 2.303" Properties=species:S:1:pos:R:3 pbc="T T T"
Y 0.427 3.370 7.086
Y -1.001 7.540 3.712
Y -0.957 3.517 3.225
Y 0.471 -0.653 6.599
Cd 1.513 1.668 4.502
Cd 0.516 1.024 1.605
Cd 1.273 -1.136 3.400
Cd 2.343 6.046 7.498
Cd 1.346 5.403 4.602
Cu 0.351 5.735 1.858
Cu 2.509 1.335 7.246
```

Spin magnetization, Bohr magnetons per cell: 0.000
SG: P2/m (10)
D(E_F), states/eV per atom: 0.79
E_form, eV per atom: -0.282


Material: PaGa3Pd2
Method: DFT, PBE
State: optimized geometry

extended XYZ file:
```
12
Lattice="-0.106 -1.887 3.931 2.124 -1.926 -3.287 10.906 6.333 3.335" Properties=species:S:1:pos:R:3 pbc="T T T"
Pa 2.727 1.583 0.834
Pa 8.180 4.749 2.502
Ga 5.453 3.166 1.668
Ga 0.000 0.000 0.000
Ga 7.445 2.053 3.607
Ga 2.735 -1.126 -0.467
Ga 10.188 3.645 4.446
Ga 5.478 0.466 0.372
Pd 5.121 0.703 2.896
Pd 7.803 1.816 1.083
Pd 11.317 3.856 2.158
Pd 1.607 -1.337 1.821
```

Spin magnetization, Bohr magnetons per cell: 0.000
SG: P6_3/mmc (194)
D(E_F), states/eV per atom: 0.69
E_form, eV per atom: -0.515
Energy relative to the lowest polymorph listed for this composition, meV per atom: 4


Material: NdMg3Hg3
Method: DFT, PBE
State: optimized geometry

extended XYZ file:
```
14
Lattice="-2.583 1.323 6.886 6.060 -3.271 2.902 3.528 6.587 0.057" Properties=species:S:1:pos:R:3 pbc="T T T"
Mg 3.279 2.476 0.754
Mg 6.309 0.841 2.205
Mg 1.355 5.602 3.486
Mg 1.093 -0.643 6.616
Mg -0.409 2.309 3.457
Mg 2.384 -1.305 3.172
Nd 3.503 2.320 4.923
Nd 0.000 0.000 0.000
Hg 1.118 3.625 1.750
Hg 3.912 0.011 1.465
Hg 3.254 -1.791 5.619
Hg -0.173 4.286 5.193
Hg 5.676 3.305 1.494
Hg 0.224 -0.156 4.169
```

Spin magnetization, Bohr magnetons per cell: 0.000
SG: Pm-3n (223)
D(E_F), states/eV per atom: 0.73
E_form, eV per atom: 0.163


Material: Cu2SeI
Method: DFT, PBE
State: optimized geometry

extended XYZ file:
```
4
Lattice="4.039 0.000 0.000 2.019 3.498 0.000 2.019 1.166 6.782" Properties=species:S:1:pos:R:3 pbc="T T T"
I 0.000 0.000 0.000
Cu 2.019 1.166 4.220
Cu 6.058 3.498 2.562
Se 4.039 2.332 3.391
```

Spin magnetization, Bohr magnetons per cell: 0.000
SG: R-3m (166)
D(E_F), states/eV per atom: 0.96
Energy relative to the lowest polymorph listed for this composition, meV per atom: 124


Material: Li3Ca2Cu12Ni
Method: DFT, PBE
State: optimized geometry

extended XYZ file:
```
18
Lattice="9.366 1.954 1.386 6.324 7.179 1.386 6.324 3.681 6.318" Properties=species:S:1:pos:R:3 pbc="T T T"
Li 4.683 0.977 0.693
Li 3.162 3.590 0.693
Li 3.162 1.841 3.159
Ca 14.303 8.326 5.905
Ca 7.712 4.489 3.184
Cu 11.703 6.812 6.297
Cu 16.817 9.789 4.790
Cu 15.050 10.793 7.655
Cu 12.905 6.129 4.348
Cu 16.817 7.757 7.655
Cu 11.703 8.195 4.348
Cu 10.312 6.003 2.793
Cu 5.198 3.026 4.300
Cu 6.965 2.022 1.434
Cu 9.110 6.685 4.742
Cu 5.198 5.058 1.434
Cu 10.312 4.620 4.742
Ni 0.000 0.000 0.000
```

Spin magnetization, Bohr magnetons per cell: 0.000
SG: R-3m (166)
D(E_F), states/eV per atom: 0.31
E_form, eV per atom: 0.153


Material: Tb6Pm2Nd3Ho
Method: DFT, PBE
State: optimized geometry

extended XYZ file:
```
12
Lattice="6.245 0.000 0.007 -3.121 5.409 0.007 -1.051 -1.820 11.725" Properties=species:S:1:pos:R:3 pbc="T T T"
Tb 3.113 1.791 8.825
Tb 2.083 3.607 2.922
Tb -1.040 1.797 2.913
Tb -0.004 3.591 8.825
Tb -0.010 -0.018 8.815
Tb 2.076 -0.003 2.913
Pm 0.003 3.605 0.007
Pm 3.121 1.804 0.007
Nd -2.085 3.597 5.869
Nd 4.158 -0.009 5.869
Nd 1.036 1.794 5.869
Ho 0.000 0.000 0.000
```

Spin magnetization, Bohr magnetons per cell: 0.000
SG: C2/m (12)
D(E_F), states/eV per atom: 1.26
E_form, eV per atom: 0.013


Material: HfCr3N
Method: DFT, PBE
State: optimized geometry

extended XYZ file:
```
5
Lattice="4.506 0.000 0.000 0.000 4.506 0.000 0.000 0.000 4.506" Properties=species:S:1:pos:R:3 pbc="T T T"
Cr 0.000 2.253 0.000
Cr 0.000 0.000 2.253
Cr 2.253 0.000 0.000
Hf 0.000 0.000 0.000
N 2.253 2.253 2.253
```

Spin magnetization, Bohr magnetons per cell: 0.004
SG: Pm-3m (221)
D(E_F), states/eV per atom: 1.19
Energy relative to the lowest polymorph listed for this composition, meV per atom: 3385


Material: Be2InBr
Method: DFT, PBE
State: optimized geometry

extended XYZ file:
```
4
Lattice="-7.369 -1.998 5.978 -8.648 -3.033 3.169 -6.713 -4.997 4.898" Properties=species:S:1:pos:R:3 pbc="T T T"
Be -22.304 -9.840 13.782
Be -5.868 -2.589 3.626
Br -12.361 -5.453 7.638
In -16.292 -7.187 10.067
```

Spin magnetization, Bohr magnetons per cell: 0.000
SG: R3m (160)
D(E_F), states/eV per atom: 0.10
Energy relative to the lowest polymorph listed for this composition, meV per atom: 88


Material: TeRu2Cl
Method: DFT, PBE
State: optimized geometry

extended XYZ file:
```
4
Lattice="0.000 3.215 3.215 3.215 0.000 3.215 3.215 3.215 0.000" Properties=species:S:1:pos:R:3 pbc="T T T"
Ru 1.608 1.608 1.608
Ru 4.823 4.823 4.823
Te 3.215 3.215 3.215
Cl 0.000 0.000 0.000
```

Spin magnetization, Bohr magnetons per cell: 0.967
SG: Fm-3m (225)
D(E_F), states/eV per atom: 1.20
Energy relative to the lowest polymorph listed for this composition, meV per atom: 416


Material: TaTcCl
Method: DFT, PBE
State: optimized geometry

extended XYZ file:
```
3
Lattice="6.270 0.011 0.000 4.753 4.090 0.000 -5.511 -2.050 2.177" Properties=species:S:1:pos:R:3 pbc="T T T"
Cl 10.882 4.048 0.000
Ta 3.505 1.304 0.000
Tc 7.659 2.850 0.000
```

Spin magnetization, Bohr magnetons per cell: 0.000
SG: I4mm (107)
D(E_F), states/eV per atom: 0.62
Energy relative to the lowest polymorph listed for this composition, meV per atom: 308


Material: HPbSN2
Method: DFT, PBE
State: optimized geometry

extended XYZ file:
```
5
Lattice="-4.140 0.986 -1.686 0.620 -3.084 -3.325 -2.166 -3.784 3.105" Properties=species:S:1:pos:R:3 pbc="T T T"
Pb 0.000 0.000 0.000
H -2.843 -2.940 -0.953
S -1.083 -1.892 1.552
N 0.310 -1.542 -1.663
N -2.070 0.493 -0.843
```

Spin magnetization, Bohr magnetons per cell: 4.022
SG: P4/mmm (123)
D(E_F), states/eV per atom: 0.96
Energy relative to the lowest polymorph listed for this composition, meV per atom: 459